Computed, not measured: crystalline Pm6Sm2Dy3Mg at its relaxed geometry at the PBE-GGA level of DFT.

Lattice parameters (Å, degrees): 6.225 6.225 11.839 95.03 95.03 120.03
Fractional positions:
Pm 0.083 0.414 0.751
Pm 0.249 0.249 0.248
Pm 0.414 0.083 0.751
Pm 0.586 0.917 0.249
Pm 0.751 0.751 0.752
Pm 0.917 0.586 0.249
Sm 0.333 0.667 0.500
Sm 0.667 0.333 0.500
Dy 0.166 0.834 0.000
Dy 0.500 0.500 0.000
Dy 0.834 0.166 0.000
Mg 0.000 0.000 0.500

Results
volume: 391.1 Å³ per cell
total magnetic moment: 0.000 μB/f.u.
calculated formation energy: 0.18 eV/f.u.